Entry 1:
# ZnGa6Pd2

A relaxed ZnGa6Pd2 crystal (PBE-GGA, Alexandria).

The structure belongs to space group C2/m (No. 12); the cell edges are 8.881, 4.122 and 9.232 Å and the angles 90.00°, 113.69° and 90.00°. The inequivalent atoms are Zn at (0.000, 0.000, 0.000), Ga at (0.122, 0.000, 0.455), Ga at (0.170, 0.500, 0.012), Ga at (0.176, 0.500, 0.712) and Pd at (0.108, 0.500, 0.267).

For the density of states at the Fermi level, the calculation gives 3.07 states/eV/cell. As for the calculated volume: 17.2 A^3/atom. Its formation energy from the elements is -0.23 eV per atom.

Entry 2:
# EuHoGe

A relaxed EuHoGe crystal (PBE-GGA, Alexandria).

The structure belongs to space group P3m1 (No. 156); the cell edges are 4.8351, 4.8351 and 4.3323 Å and the angles 90.00°, 90.00° and 120.00°. The inequivalent atoms are Eu at (0.0000, 0.0000, 0.0000), Ho at (0.3333, 0.6667, 0.5114) and Ge at (0.6667, 0.3333, 0.4271).

For the density of states at the Fermi level, the calculation gives 5.62 states/eV/cell. As for the calculated volume: 29.2 A^3/atom. Its formation energy from the elements is -0.39 eV per atom.

Entry 3:
# Na2AuF6

A relaxed Na2AuF6 crystal (PBE-GGA, Alexandria).

The structure belongs to space group P2_1/c (No. 14); the cell edges are 5.931, 5.756 and 9.135 Å and the angles 90.00°, 117.91° and 90.00°. The inequivalent atoms are Na at (0.165, 0.091, 0.214), Au at (0.500, 0.000, 0.000), F at (0.146, 0.188, 0.939), F at (0.263, 0.733, 0.905) and F at (0.457, 0.086, 0.780).

The final energy comes out at -66.46 eV per cell. As for the calculated volume: 15.3 A^3/atom.

Entry 4:
# KLi2SI

A relaxed KLi2SI crystal (PBE-GGA, Alexandria).

The structure belongs to space group P4/mmm (No. 123); the cell edges are 4.798, 4.798 and 6.303 Å and the angles 90.00°, 90.00° and 90.00°. The inequivalent atoms are K at (0.000, 0.000, 0.000), Li at (0.000, 0.500, 0.500), S at (0.000, 0.000, 0.500) and I at (0.500, 0.500, 0.000).

For the density of states at the Fermi level, the calculation gives 0.00 states/eV/cell. The final energy comes out at -16.57 eV per cell. As for the calculated volume: 29.0 A^3/atom.

Entry 5:
# SrHg2Te2

A relaxed SrHg2Te2 crystal (PBE-GGA, Alexandria).

The structure belongs to space group P4/mbm (No. 127); the cell edges are 8.548, 8.548 and 4.426 Å and the angles 90.00°, 90.00° and 90.00°. The inequivalent atoms are Sr at (0.000, 0.000, 0.000), Hg at (0.145, 0.355, 0.500) and Te at (0.157, 0.657, 0.000).

For the density of states at the Fermi level, the calculation gives 3.80 states/eV/cell. The final energy comes out at -21.38 eV per cell. As for the calculated volume: 32.3 A^3/atom.

Entry 6:
# BaLi2Mo

A relaxed BaLi2Mo crystal (PBE-GGA, Alexandria).

The structure belongs to space group I-4m2 (No. 119); the cell edges are 5.249, 5.249 and 7.542 Å and the angles 90.00°, 90.00° and 90.00°. The inequivalent atoms are Ba at (0.000, 0.000, 0.000), Li at (0.000, 0.000, 0.500), Li at (0.000, 0.500, 0.750) and Mo at (0.000, 0.500, 0.250).

For the density of states at the Fermi level, the calculation gives 6.59 states/eV/cell. As for the calculated volume: 26.0 A^3/atom. Its formation energy from the elements is 0.89 eV per atom.

Entry 7:
# BeReNiAs2

A relaxed BeReNiAs2 crystal (PBE-GGA, Alexandria).

The structure belongs to space group P4/mmm (No. 123); the cell edges are 4.341, 4.341 and 4.871 Å and the angles 90.00°, 90.00° and 90.00°. The inequivalent atoms are Be at (0.000, 0.000, 0.000), Re at (0.500, 0.500, 0.000), Ni at (0.500, 0.500, 0.500) and As at (0.000, 0.500, 0.500).

For the density of states at the Fermi level, the calculation gives 2.78 states/eV/cell. As for the calculated volume: 18.4 A^3/atom. Its formation energy from the elements is 1.30 eV per atom.

Entry 8:
# RbZrMn3

A relaxed RbZrMn3 crystal (PBE-GGA, Alexandria).

The structure belongs to space group Pm-3m (No. 221); the cell edges are 4.930, 4.930 and 4.930 Å and the angles 90.00°, 90.00° and 90.00°. The inequivalent atoms are Rb at (0.000, 0.000, 0.000), Zr at (0.500, 0.500, 0.500) and Mn at (0.000, 0.000, 0.500).

For the density of states at the Fermi level, the calculation gives 5.54 states/eV/cell. As for the calculated volume: 24.0 A^3/atom. Its formation energy from the elements is 2.18 eV per atom.